The following is a DFT calculation (PBE) of a relaxed structure of Li2TaCl.

Computed properties:
The space-group type is P4/mmm. The total magnetization is 0.45 μB/atom. For the density of states at the Fermi level, the calculation gives 3.3 states/eV/cell. Its raw formation energy is 456 meV per atom.

abc: 2.984 4.934 4.934
angles: 90.00 90.00 90.00
Positions (direct):
Ta1 0.500 0.500 0.000
Li1 0.000 0.000 0.000
Li2 0.000 0.500 0.500
Cl1 0.500 0.000 0.500


The following is a DFT calculation (PBE) of a relaxed structure of LiPb.

Computed properties:
The space-group type is P6_3/mmc. The total magnetization is 0.00 μB/atom. For the density of states at the Fermi level, the calculation gives 1.2 states/eV/cell. As for the formation energy: -0.146 eV per atom.

abc: 5.048 5.048 9.239
angles: 90.00 90.00 120.00
Positions (direct):
Li1 0.000 0.000 0.250
Li2 0.333 0.667 0.750
Li3 0.000 0.000 0.750
Li4 0.667 0.333 0.250
Pb1 0.667 0.333 0.922
Pb2 0.333 0.667 0.422
Pb3 0.333 0.667 0.078
Pb4 0.667 0.333 0.578